The following is a DFT calculation (PBE) of a relaxed structure of Ho2GaPd.

Values from the calculation:
Calculated formation energy (kcal/mol of atoms): -3.7
VASP energy (Ry/atom): -0.331

```
data_Ho2GaPd
_cell_length_a 3.3668
_cell_length_b 3.3668
_cell_length_c 29.2905
_cell_angle_alpha 90.00
_cell_angle_beta 90.00
_cell_angle_gamma 120.00
_symmetry_space_group_name_H-M 'R -3 m'
_symmetry_Int_Tables_number 166
_symmetry_space_group_name_Hall '-R 3 2"'
loop_
_atom_site_label
_atom_site_fract_x
_atom_site_fract_y
_atom_site_fract_z
Ho1 0.0000 0.0000 0.0896
Ga1 0.0000 0.0000 0.5000
Pd1 0.0000 0.0000 0.0000
```